# Sr2SiF8 PBE relaxed
# VASP energy   -5.76 eV per atom
# V   323.2 Å³ per cell
data_Sr2SiF8
_chemical_formula_sum 'Sr4 Si2 F16'
_cell_length_a 9.802
_cell_length_b 7.456
_cell_length_c 4.694
_cell_angle_alpha 90.00
_cell_angle_beta 109.59
_cell_angle_gamma 90.00
_symmetry_space_group_name_H-M 'C 1 2/m 1'
_symmetry_Int_Tables_number 12
loop_
_symmetry_equiv_pos_as_xyz
'x,y,z'
'-x,-y,-z'
'-x,y,-z'
'x,-y,z'
'x+1/2,y+1/2,z'
'-x+1/2,-y+1/2,-z'
'-x+1/2,y+1/2,-z'
'x+1/2,-y+1/2,z'
loop_
_atom_site_label
_atom_site_type_symbol
_atom_site_fract_x
_atom_site_fract_y
_atom_site_fract_z
Sr1 Sr 0.166 0.000 0.350
Si1 Si 0.000 0.500 0.000
F1 F 0.093 0.000 0.801
F2 F 0.107 0.500 0.786
F3 F 0.111 0.337 0.231